Below is ScHPt2 after structural relaxation, with properties calculated at the PBE level.

Geometry as extended XYZ:
```
4
Lattice="-2.517 -3.484 0.631 -4.213 0.504 0.929 -3.015 -1.062 -2.941" Properties=species:S:1:pos:R:3 pbc="T T T"
Sc -4.873 -2.021 -0.691
Pt -7.309 -3.031 -1.036
Pt -2.436 -1.010 -0.345
H 0.000 0.000 0.000
```

Summary:
As for the distance to the lowest polymorph of the same formula: 153 kJ/mol of formula units.

Below is ScHPt2 after structural relaxation, with properties calculated at the PBE level.

Geometry as extended XYZ:
```
8
Lattice="6.487 0.000 0.000 0.000 6.487 0.000 3.244 3.244 2.613" Properties=species:S:1:pos:R:3 pbc="T T T"
H 3.244 6.487 1.306
H 3.244 3.244 0.000
Pt 8.109 7.428 1.959
Pt 2.303 4.866 0.653
Pt 4.184 1.622 0.653
Pt 4.866 5.547 1.959
Sc 6.487 3.244 1.306
Sc 0.000 0.000 0.000
```

Summary:
As for the distance to the lowest polymorph of the same formula: 0 kJ/mol of formula units.

Below is ScHPt3 after structural relaxation, with properties calculated at the PBE level.

Geometry as extended XYZ:
```
5
Lattice="-3.828 -2.936 -0.610 2.895 -3.876 0.491 -0.783 0.023 4.799" Properties=species:S:1:pos:R:3 pbc="T T T"
Pt -1.914 -1.468 -0.305
Pt -0.391 0.012 2.400
Pt 1.447 -1.938 0.245
H -0.858 -3.395 2.340
Sc 0.000 0.000 0.000
```

Summary:
As for the distance to the lowest polymorph of the same formula: 982 kJ/mol of formula units.

Below is Sc2H2Pt after structural relaxation, with properties calculated at the PBE level.

Geometry as extended XYZ:
```
10
Lattice="6.547 0.000 0.000 0.000 6.547 0.000 0.000 0.000 2.925" Properties=species:S:1:pos:R:3 pbc="T T T"
H 2.544 5.817 0.000
H 4.003 0.729 0.000
H 0.729 2.544 0.000
H 5.817 4.003 0.000
Sc 1.122 4.395 1.462
Sc 4.395 5.425 1.462
Sc 2.152 1.122 1.462
Sc 5.425 2.152 1.462
Pt 3.273 3.273 0.000
Pt 0.000 0.000 0.000
```

Summary:
As for the distance to the lowest polymorph of the same formula: 206 kJ/mol of formula units.

Below is Sc2HPt2 after structural relaxation, with properties calculated at the PBE level.

Geometry as extended XYZ:
```
10
Lattice="7.003 0.000 0.000 0.000 7.003 0.000 0.000 0.000 3.637" Properties=species:S:1:pos:R:3 pbc="T T T"
H 0.000 0.000 0.000
H 3.502 3.502 0.000
Sc 1.211 2.291 0.000
Sc 2.291 5.792 0.000
Sc 4.712 1.211 0.000
Sc 5.792 4.712 0.000
Pt 6.060 2.559 1.819
Pt 2.559 0.943 1.819
Pt 0.943 4.444 1.819
Pt 4.444 6.060 1.819
```

Summary:
As for the distance to the lowest polymorph of the same formula: 0 kJ/mol of formula units.

Below is Sc2HPt2 after structural relaxation, with properties calculated at the PBE level.

Geometry as extended XYZ:
```
5
Lattice="3.774 0.000 0.000 0.000 3.774 0.000 1.887 1.887 7.033" Properties=species:S:1:pos:R:3 pbc="T T T"
Sc 3.774 3.774 5.418
Sc 1.887 1.887 1.615
Pt 3.774 1.887 3.516
Pt 1.887 3.774 3.516
H 0.000 0.000 0.000
```

Summary:
As for the distance to the lowest polymorph of the same formula: 144 kJ/mol of formula units.

Magnetic moment, record by record: 0.00, 0.00, 0.50, 0.03, 0.00, 0.00 μB per formula unit